[1]
Compound: ZnNF2
Source: Alexandria via LeMat-Bulk
Functional: GGA-PBE
Structure: relaxed

```
data_ZnNF2
_chemical_formula_sum 'Zn4 N4 F8'
_space_group_name_H-M_alt 'I -4 2 d'
_space_group_IT_number 122
_space_group_name_Hall 'I -4 2bw'
_cell_length_a 6.0996
_cell_length_b 6.0996
_cell_length_c 8.3658
_cell_angle_alpha 90.00
_cell_angle_beta 90.00
_cell_angle_gamma 90.00
loop_
_atom_site_label
_atom_site_type_symbol
_atom_site_fract_x
_atom_site_fract_y
_atom_site_fract_z
Zn1 Zn 0.0000 0.0000 0.0000
N1 N 0.0000 0.0000 0.5000
F1 F 0.0901 0.7500 0.1250
```

[2]
Compound: ZnNF3
Source: Alexandria via LeMat-Bulk
Functional: GGA-PBE
Structure: relaxed

```
data_ZnNF3
_chemical_formula_sum 'Zn1 N1 F3'
_space_group_name_H-M_alt 'P m -3 m'
_space_group_IT_number 221
_space_group_name_Hall '-P 4 2 3'
_cell_length_a 3.9826
_cell_length_b 3.9826
_cell_length_c 3.9826
_cell_angle_alpha 90.00
_cell_angle_beta 90.00
_cell_angle_gamma 90.00
loop_
_atom_site_label
_atom_site_type_symbol
_atom_site_fract_x
_atom_site_fract_y
_atom_site_fract_z
Zn1 Zn 0.0000 0.0000 0.0000
N1 N 0.5000 0.5000 0.5000
F1 F 0.0000 0.0000 0.5000
```

Density of states at the Fermi level readings, ordered: 0.000 9.067 states/eV/f.u.
E_form (uncorrected) readings, ordered: -35.1 -30.2 kJ per mole of atoms
Polymorph energy (0 for the lowest one) readings, ordered: 1.2615 0.5641 eV per atom